Density functional theory data (PBE+U) for K2CrSbO6 after structural relaxation.

Results
- total magnetic moment (μB per cell) = 0.988
- total energy (eV per cell) = -57.219

a b c (Å): 5.606 5.606 5.606
angles (deg): 119.76 119.76 90.42
Sites, in units of the cell vectors:
K  0.250  0.750  0.500
K  0.750  0.250  0.500
Cr  0.000  0.000  0.000
Sb  0.500  0.500  0.000
O  0.244  0.244  0.000
O  0.249  0.249  0.498
O  0.249  0.751  0.000
O  0.751  0.249  0.000
O  0.751  0.751  0.502
O  0.756  0.756  0.000